A plane-wave DFT calculation with PBE was carried out for crystalline ZnNiPt2 at its relaxed geometry.

Output
Energy of formation   -90.7 kJ/mol of formula units
Space-group type   Imm2, No. 44
DOS at the Fermi energy   1.27 states/eV per atom

abc: 5.229 5.229 5.229
angles: 149.01 129.64 60.31
Site moments in Bohr magnetons follow the coordinates.
Fractional positions:
Ni1 0.256 0.756 0.500  0.06
Pt1 0.013 0.013 0.000  0.01
Pt2 0.742 0.242 0.500  0.01
Zn1 0.489 0.489 0.000  0.00